DFT (PBEsol) results for a geometry-optimized Ca2LaBeAs structure.

Magnetization   0.00 μB per atom
VASP energy   -2.66 eV/atom
Energy of formation   5.4 eV/f.u.
Symmetry   No. 123

The structure in POSCAR format:
```
Ca2LaBeAs
1.0
-4.805 -2.391 -0.667
2.102 -5.039 2.929
-1.916 2.343 5.406
Be As Ca La
1 1 2 1
Cartesian
-2.310 -2.544 3.834
-2.402 -1.196 -0.333
-0.958 1.172 2.703
1.051 -2.519 1.465
0.000 0.000 0.000
```